The following is a PBE calculation of TbNdEr after structural relaxation, from the Alexandria database.

Cell lengths 5.192, 5.192, 5.943 Å; angles 90.00, 90.00, 120.00 degrees
Atoms (fractional coordinates):
Tb  0.000  0.000  0.000
Nd  0.333  0.667  0.500
Er  0.333  0.667  0.000

Relative energy among the computed polymorphs = 1.461 eV/atom
E_tot = -9.52 eV/f.u.
Size of the total moment = 0.003 μB/f.u.
ΔE_f = 4.44 eV/f.u.